# 1
# SmTmZn, relaxed, DFT PBE
data_SmTmZn
_chemical_formula_sum 'Sm1 Tm1 Zn1'
_space_group_name_H-M_alt 'P 3 m 1'
_space_group_IT_number 156
_space_group_name_Hall 'P 3 -2"'
_cell_length_a 4.9804
_cell_length_b 4.9804
_cell_length_c 3.7122
_cell_angle_alpha 90.00
_cell_angle_beta 90.00
_cell_angle_gamma 120.00
loop_
_atom_site_label
_atom_site_fract_x
_atom_site_fract_y
_atom_site_fract_z
Sm1 0.0000 0.0000 0.0000
Tm1 0.3333 0.6667 0.5326
Zn1 0.6667 0.3333 0.3562
# Magnetic moment ... 0.000 μB/f.u.
# E_form ... -0.147 eV per formula unit

---

# 2
# InPdPtAu, relaxed, DFT PBE
data_InPdPtAu
_chemical_formula_sum 'In1 Pd1 Pt1 Au1'
_space_group_name_H-M_alt 'P m m m'
_space_group_IT_number 47
_space_group_name_Hall '-P 2 2'
_cell_length_a 3.9161
_cell_length_b 4.1791
_cell_length_c 4.1929
_cell_angle_alpha 90.00
_cell_angle_beta 90.00
_cell_angle_gamma 90.00
loop_
_atom_site_label
_atom_site_fract_x
_atom_site_fract_y
_atom_site_fract_z
In1 0.0000 0.0000 0.0000
Pd1 0.5000 0.0000 0.5000
Pt1 0.5000 0.5000 0.0000
Au1 0.0000 0.5000 0.5000
# Magnetic moment ... 0.000 μB/f.u.
# E_form ... -1.520 eV per formula unit

---

# 3
# Sc2MnNi3, relaxed, DFT PBE
data_Sc2MnNi3
_chemical_formula_sum 'Sc4 Mn2 Ni6'
_space_group_name_H-M_alt 'I m m m'
_space_group_IT_number 71
_space_group_name_Hall '-I 2 2'
_cell_length_a 4.3912
_cell_length_b 4.9308
_cell_length_c 8.6051
_cell_angle_alpha 90.00
_cell_angle_beta 90.00
_cell_angle_gamma 90.00
loop_
_atom_site_label
_atom_site_fract_x
_atom_site_fract_y
_atom_site_fract_z
Sc1 0.0000 0.0000 0.1835
Mn1 0.0000 0.0000 0.5000
Ni1 0.0000 0.5000 0.1387
Ni2 0.0000 0.5000 0.5000
# Magnetic moment ... 3.915 μB/f.u.
# E_form ... -0.341 eV per formula unit

---

# 4
# GdLuMnRu, relaxed, DFT PBE
data_GdLuMnRu
_chemical_formula_sum 'Gd4 Lu4 Mn4 Ru4'
_space_group_name_H-M_alt 'F -4 3 m'
_space_group_IT_number 216
_space_group_name_Hall 'F -4 2 3'
_cell_length_a 6.8886
_cell_length_b 6.8886
_cell_length_c 6.8886
_cell_angle_alpha 90.00
_cell_angle_beta 90.00
_cell_angle_gamma 90.00
loop_
_atom_site_label
_atom_site_fract_x
_atom_site_fract_y
_atom_site_fract_z
Gd1 0.0000 0.0000 0.0000
Lu1 0.0000 0.0000 0.5000
Mn1 0.2500 0.2500 0.2500
Ru1 0.2500 0.2500 0.7500
# Magnetic moment ... 3.507 μB/f.u.
# E_form ... -0.422 eV per formula unit

---

# 5
# H2IrS8, relaxed, DFT PBE
data_H2IrS8
_chemical_formula_sum 'H2 Ir1 S8'
_space_group_name_H-M_alt 'P -1'
_space_group_IT_number 2
_space_group_name_Hall '-P 1'
_cell_length_a 3.7229
_cell_length_b 4.4693
_cell_length_c 13.4912
_cell_angle_alpha 92.94
_cell_angle_beta 94.15
_cell_angle_gamma 90.28
loop_
_atom_site_label
_atom_site_fract_x
_atom_site_fract_y
_atom_site_fract_z
H1 0.1947 0.0436 0.4336
Ir1 0.0000 0.0000 0.0000
S1 0.0773 0.8154 0.1626
S2 0.1155 0.2733 0.3739
S3 0.2243 0.9631 0.7333
S4 0.4869 0.6830 0.9528
# Magnetic moment ... 0.000 μB/f.u.
# Calculated total energy ... -48.8 eV for the cell shown

---

# 6
# AcPmGaRu, relaxed, DFT PBE
data_AcPmGaRu
_chemical_formula_sum 'Ac2 Pm2 Ga2 Ru2'
_space_group_name_H-M_alt 'A m m 2'
_space_group_IT_number 38
_space_group_name_Hall 'A 2 -2'
_cell_length_a 4.2340
_cell_length_b 4.5339
_cell_length_c 10.9834
_cell_angle_alpha 90.00
_cell_angle_beta 90.00
_cell_angle_gamma 90.00
loop_
_atom_site_label
_atom_site_fract_x
_atom_site_fract_y
_atom_site_fract_z
Ac1 0.0000 0.0000 0.0000
Pm1 0.5000 0.0000 0.2841
Ga1 0.5000 0.0000 0.5934
Ru1 0.0000 0.0000 0.7272
# Magnetic moment ... 0.000 μB/f.u.
# E_form ... -1.365 eV per formula unit

---

# 7
# LaPuSn4, relaxed, DFT PBE
data_LaPuSn4
_chemical_formula_sum 'La4 Pu4 Sn16'
_space_group_name_H-M_alt 'F -4 3 m'
_space_group_IT_number 216
_space_group_name_Hall 'F -4 2 3'
_cell_length_a 8.7377
_cell_length_b 8.7377
_cell_length_c 8.7377
_cell_angle_alpha 90.00
_cell_angle_beta 90.00
_cell_angle_gamma 90.00
loop_
_atom_site_label
_atom_site_fract_x
_atom_site_fract_y
_atom_site_fract_z
La1 0.0000 0.0000 0.0000
Pu1 0.2500 0.2500 0.2500
Sn1 0.1245 0.1245 0.6245
# Magnetic moment ... 6.914 μB/f.u.
# E_form ... -2.041 eV per formula unit

---

# 8
# MnBe2Zn, relaxed, DFT PBE
data_MnBe2Zn
_chemical_formula_sum 'Mn4 Be8 Zn4'
_space_group_name_H-M_alt 'I -4 2 d'
_space_group_IT_number 122
_space_group_name_Hall 'I -4 2bw'
_cell_length_a 6.0327
_cell_length_b 6.0327
_cell_length_c 4.8376
_cell_angle_alpha 90.00
_cell_angle_beta 90.00
_cell_angle_gamma 90.00
loop_
_atom_site_label
_atom_site_fract_x
_atom_site_fract_y
_atom_site_fract_z
Mn1 0.0000 0.0000 0.0000
Be1 0.2492 0.2500 0.1250
Zn1 0.0000 0.0000 0.5000
# Magnetic moment ... 0.999 μB/f.u.
# E_form ... 1.847 eV per formula unit

---

# 9
# HfAl3Ir4, relaxed, DFT PBE
data_HfAl3Ir4
_chemical_formula_sum 'Hf1 Al3 Ir4'
_space_group_name_H-M_alt 'P 4/m m m'
_space_group_IT_number 123
_space_group_name_Hall '-P 4 2'
_cell_length_a 4.2055
_cell_length_b 4.2055
_cell_length_c 6.6878
_cell_angle_alpha 90.00
_cell_angle_beta 90.00
_cell_angle_gamma 90.00
loop_
_atom_site_label
_atom_site_fract_x
_atom_site_fract_y
_atom_site_fract_z
Hf1 0.0000 0.0000 0.0000
Al1 0.0000 0.0000 0.5000
Al2 0.5000 0.5000 0.0000
Al3 0.5000 0.5000 0.5000
Ir1 0.0000 0.5000 0.2647
# Magnetic moment ... 0.000 μB/f.u.
# E_form ... -7.645 eV per formula unit

---

# 10
# K2FeRhS, relaxed, DFT PBE
data_K2FeRhS
_chemical_formula_sum 'K2 Fe1 Rh1 S1'
_space_group_name_H-M_alt 'P 4/m m m'
_space_group_IT_number 123
_space_group_name_Hall '-P 4 2'
_cell_length_a 6.0925
_cell_length_b 6.0925
_cell_length_c 4.2603
_cell_angle_alpha 90.00
_cell_angle_beta 90.00
_cell_angle_gamma 90.00
loop_
_atom_site_label
_atom_site_fract_x
_atom_site_fract_y
_atom_site_fract_z
K1 0.0000 0.5000 0.0000
Fe1 0.0000 0.0000 0.5000
Rh1 0.5000 0.5000 0.5000
S1 0.0000 0.0000 0.0000
# Formation energy (no corrections) ... 0.485 eV/atom
# Magnetic moment ... 4.485 μB/f.u.

---

# 11
# SrCa2In2Hg2, relaxed, DFT PBE
data_SrCa2In2Hg2
_chemical_formula_sum 'Sr3 Ca6 In6 Hg6'
_space_group_name_H-M_alt 'R -3 m'
_space_group_IT_number 166
_space_group_name_Hall '-R 3 2"'
_cell_length_a 5.0224
_cell_length_b 5.0224
_cell_length_c 29.4106
_cell_angle_alpha 90.00
_cell_angle_beta 90.00
_cell_angle_gamma 120.00
loop_
_atom_site_label
_atom_site_fract_x
_atom_site_fract_y
_atom_site_fract_z
Sr1 0.0000 0.0000 0.0000
Ca1 0.0000 0.0000 0.1285
In1 0.0000 0.0000 0.2518
Hg1 0.0000 0.0000 0.4050
# Magnetic moment ... 0.000 μB/f.u.
# E_form ... -2.869 eV per formula unit

---

# 12
# PaZnInN, relaxed, DFT PBE
data_PaZnInN
_chemical_formula_sum 'Pa2 Zn2 In2 N2'
_space_group_name_H-M_alt 'P 4/n m m'
_space_group_IT_number 129
_cell_length_a 4.1800
_cell_length_b 4.1800
_cell_length_c 8.3944
_cell_angle_alpha 90.00
_cell_angle_beta 90.00
_cell_angle_gamma 90.00
loop_
_space_group_symop_operation_xyz
'x,y,z'
'-x,-y,-z'
'-y+1/2,x,z'
'y+1/2,-x,-z'
'-x+1/2,-y+1/2,z'
'x+1/2,y+1/2,-z'
'y,-x+1/2,z'
'-y,x+1/2,-z'
'x+1/2,-y,-z'
'-x+1/2,y,z'
'-y,-x,-z'
'y,x,z'
'-x,y+1/2,-z'
'x,-y+1/2,z'
'y+1/2,x+1/2,-z'
'-y+1/2,-x+1/2,z'
loop_
_atom_site_label
_atom_site_fract_x
_atom_site_fract_y
_atom_site_fract_z
Pa1 0.2500 0.2500 0.1233
Zn1 0.2500 0.2500 0.7223
In1 0.2500 0.7500 0.5000
N1 0.2500 0.7500 0.0000
# Formation energy (no corrections) ... -0.741 eV/atom
# Magnetic moment ... 0.000 μB/f.u.

---

# 13
# MgMnP2, relaxed, DFT PBE
data_MgMnP2
_chemical_formula_sum 'Mg2 Mn2 P4'
_space_group_name_H-M_alt 'C 1 2/m 1'
_space_group_IT_number 12
_space_group_name_Hall '-C 2y'
_cell_length_a 5.4227
_cell_length_b 6.6623
_cell_length_c 3.3640
_cell_angle_alpha 90.00
_cell_angle_beta 91.21
_cell_angle_gamma 90.00
loop_
_atom_site_label
_atom_site_fract_x
_atom_site_fract_y
_atom_site_fract_z
Mg1 0.0000 0.0000 0.0000
Mn1 0.0000 0.5000 0.0000
P1 0.2500 0.2500 0.5000
# Magnetic moment ... 3.333 μB/f.u.
# E_form ... -0.087 eV per formula unit

---

# 14
# CuTe3O, relaxed, DFT PBE
data_CuTe3O
_chemical_formula_sum 'Cu1 Te3 O1'
_space_group_name_H-M_alt 'P m -3 m'
_space_group_IT_number 221
_space_group_name_Hall '-P 4 2 3'
_cell_length_a 4.7866
_cell_length_b 4.7866
_cell_length_c 4.7866
_cell_angle_alpha 90.00
_cell_angle_beta 90.00
_cell_angle_gamma 90.00
loop_
_atom_site_label
_atom_site_fract_x
_atom_site_fract_y
_atom_site_fract_z
Cu1 0.0000 0.0000 0.0000
Te1 0.0000 0.5000 0.5000
O1 0.5000 0.5000 0.5000
# Formation energy (no corrections) ... 0.408 eV/atom
# Magnetic moment ... 0.000 μB/f.u.

---

# 15
# La2TbHoHg2, relaxed, DFT PBE
data_La2TbHoHg2
_chemical_formula_sum 'La4 Tb2 Ho2 Hg4'
_space_group_name_H-M_alt 'P m c 21'
_space_group_IT_number 26
_space_group_name_Hall 'P 2c -2'
_cell_length_a 5.1823
_cell_length_b 9.6486
_cell_length_c 7.1903
_cell_angle_alpha 90.00
_cell_angle_beta 90.00
_cell_angle_gamma 90.00
loop_
_atom_site_label
_atom_site_fract_x
_atom_site_fract_y
_atom_site_fract_z
La1 0.0000 0.0559 0.0000
La2 0.5000 0.1721 0.3103
Tb1 0.5000 0.4463 0.9699
Ho1 0.0000 0.3292 0.6550
Hg1 0.0000 0.3653 0.2250
Hg2 0.5000 0.1646 0.7510
# Magnetic moment ... 0.000 μB/f.u.
# E_form ... -2.040 eV per formula unit

---

# 16
# CuIr2Cl, relaxed, DFT PBE
data_CuIr2Cl
_chemical_formula_sum 'Cu1 Ir2 Cl1'
_space_group_name_H-M_alt 'P 4/m m m'
_space_group_IT_number 123
_space_group_name_Hall '-P 4 2'
_cell_length_a 3.9395
_cell_length_b 3.9395
_cell_length_c 3.7940
_cell_angle_alpha 90.00
_cell_angle_beta 90.00
_cell_angle_gamma 90.00
loop_
_atom_site_label
_atom_site_fract_x
_atom_site_fract_y
_atom_site_fract_z
Cu1 0.0000 0.0000 0.0000
Ir1 0.0000 0.5000 0.5000
Cl1 0.5000 0.5000 0.0000
# Formation energy (no corrections) ... 1.079 eV/atom
# Magnetic moment ... 0.095 μB/f.u.

---

# 17
# SnGe3Se4, relaxed, DFT PBE
data_SnGe3Se4
_chemical_formula_sum 'Sn2 Ge6 Se8'
_space_group_name_H-M_alt 'P m n 21'
_space_group_IT_number 31
_space_group_name_Hall 'P 2ac -2'
_cell_length_a 7.5328
_cell_length_b 11.4482
_cell_length_c 6.0136
_cell_angle_alpha 90.00
_cell_angle_beta 90.00
_cell_angle_gamma 90.00
loop_
_atom_site_label
_atom_site_fract_x
_atom_site_fract_y
_atom_site_fract_z
Sn1 0.0000 0.1639 0.0000
Ge1 0.0000 0.8168 0.5161
Ge2 0.2501 0.3319 0.5178
Se1 0.0000 0.1796 0.4800
Se2 0.0000 0.8191 0.9633
Se3 0.2442 0.6657 0.4644
# Formation energy (no corrections) ... -0.224 eV/atom
# Magnetic moment ... 0.000 μB/f.u.

---

# 18
# Pm4SnTeC, relaxed, DFT PBE
data_Pm4SnTeC
_chemical_formula_sum 'Pm16 Sn4 Te4 C4'
_space_group_name_H-M_alt 'C m c m'
_space_group_IT_number 63
_space_group_name_Hall '-C 2c 2'
_cell_length_a 7.0175
_cell_length_b 16.1819
_cell_length_c 7.0376
_cell_angle_alpha 90.00
_cell_angle_beta 90.00
_cell_angle_gamma 90.00
loop_
_atom_site_label
_atom_site_fract_x
_atom_site_fract_y
_atom_site_fract_z
Pm1 0.0000 0.0900 0.2500
Pm2 0.0000 0.4071 0.2500
Pm3 0.2500 0.2500 0.0000
Sn1 0.0000 0.1090 0.7500
Te1 0.0000 0.3898 0.7500
C1 0.0000 0.2486 0.2500
# Formation energy (no corrections) ... -0.669 eV/atom
# Magnetic moment ... 0.000 μB/f.u.

---

# 19
# MnSe2Br, relaxed, DFT PBE
data_MnSe2Br
_chemical_formula_sum 'Mn3 Se6 Br3'
_space_group_name_H-M_alt 'R -3 m'
_space_group_IT_number 166
_space_group_name_Hall '-R 3 2"'
_cell_length_a 3.5963
_cell_length_b 3.5963
_cell_length_c 23.6547
_cell_angle_alpha 90.00
_cell_angle_beta 90.00
_cell_angle_gamma 120.00
loop_
_atom_site_label
_atom_site_fract_x
_atom_site_fract_y
_atom_site_fract_z
Mn1 0.0000 0.0000 0.0000
Se1 0.0000 0.0000 0.2755
Br1 0.0000 0.0000 0.5000
# Formation energy (no corrections) ... -0.240 eV/atom
# Magnetic moment ... 2.714 μB/f.u.

---

# 20
# MgRuW3, relaxed, DFT PBE
data_MgRuW3
_chemical_formula_sum 'Mg1 Ru1 W3'
_space_group_name_H-M_alt 'P m -3 m'
_space_group_IT_number 221
_space_group_name_Hall '-P 4 2 3'
_cell_length_a 4.7315
_cell_length_b 4.7315
_cell_length_c 4.7315
_cell_angle_alpha 90.00
_cell_angle_beta 90.00
_cell_angle_gamma 90.00
loop_
_atom_site_label
_atom_site_fract_x
_atom_site_fract_y
_atom_site_fract_z
Mg1 0.0000 0.0000 0.0000
Ru1 0.5000 0.5000 0.5000
W1 0.0000 0.5000 0.5000
# Magnetic moment ... 0.000 μB/f.u.
# E_form ... 8.710 eV per formula unit